(1)
HoScSn2 | Alexandria via LeMat-Bulk | PBE | optimized geometry; polymorph energy (0 for the lowest one) = 0.1118 eV/atom
1.0
3.877 0.000 0.000
0.000 3.877 0.000
0.000 0.000 6.630
Sn Sc Ho
2 1 1
Cartesian
0.000 0.000 5.104 Sn
0.000 0.000 1.526 Sn
1.939 1.939 0.000 Sc
1.939 1.939 3.315 Ho

***

(2)
Ho2ScSn | Alexandria via LeMat-Bulk | PBE | optimized geometry; polymorph energy (0 for the lowest one) = 0.0000 eV/atom
1.0
-2.001 -3.715 -2.092
2.366 -2.875 2.840
-3.517 0.156 3.088
Ho Sn Sc
2 1 1
Cartesian
-1.759 0.078 1.544 Ho
1.183 -1.437 1.420 Ho
-1.001 -1.857 -1.046 Sn
-1.576 -3.217 1.918 Sc

***

(3)
HoScSn2 | Alexandria via LeMat-Bulk | PBE | optimized geometry; polymorph energy (0 for the lowest one) = 0.0760 eV/atom
1.0
4.357 0.000 0.000
0.000 4.737 0.000
0.000 0.000 4.737
Sn Sc Ho
2 1 1
Cartesian
0.000 0.000 2.369 Sn
0.000 2.369 0.000 Sn
2.179 0.000 0.000 Sc
2.179 2.369 2.369 Ho

***

(4)
HoScSn2 | Alexandria via LeMat-Bulk | PBE | optimized geometry; polymorph energy (0 for the lowest one) = 0.0000 eV/atom
1.0
-0.619 -1.031 -4.207
-4.165 -0.250 0.674
-0.215 5.904 0.857
Sn Ho Sc
2 1 1
Cartesian
-0.720 1.997 -3.710 Sn
-2.387 4.995 0.351 Sn
-0.650 4.973 -2.174 Ho
-2.457 2.019 -1.185 Sc

***

(5)
This record from Alexandria via LeMat-Bulk describes crystalline Ho3ScSn3 at its relaxed geometry. The functional is PBE.

```
Ho3ScSn3
1.0
6.095 0.000 0.000
0.000 9.249 0.000
0.000 -4.624 8.010
Sn Ho Sc
6 6 2
Cartesian
4.571 -2.896 5.384 Sn
4.571 1.410 2.809 Sn
1.524 3.214 5.200 Sn
1.524 3.138 0.184 Sn
4.571 1.487 7.826 Sn
1.524 7.521 2.626 Sn
1.524 -2.889 5.538 Ho
4.571 3.352 5.270 Ho
4.571 7.513 2.472 Ho
1.524 1.273 2.739 Ho
1.524 1.616 7.742 Ho
4.571 3.008 0.267 Ho
1.524 4.624 2.670 Sc
4.571 0.000 5.340 Sc
```

***

(6)
HoScSn | Alexandria via LeMat-Bulk | PBE | optimized geometry; polymorph energy (0 for the lowest one) = 0.0000 eV/atom
1.0
-1.614 -0.704 -4.033
3.056 -3.093 -0.683
-5.033 -5.635 2.998
Ho Sc Sn
2 2 2
Cartesian
-1.590 -1.229 -1.550 Ho
-2.722 -6.305 2.190 Ho
-2.517 -2.817 1.499 Sc
-1.796 -4.716 -0.859 Sc
0.344 -2.872 0.364 Sn
-4.656 -4.662 0.276 Sn

***

(7)
This record from Alexandria via LeMat-Bulk describes crystalline Ho8Sc2Sn at its relaxed geometry. The functional is PBE.

```
Ho8Sc2Sn
1.0
4.828 0.000 0.000
0.000 7.735 0.395
-2.414 -2.824 8.302
Sc Ho Sn
2 8 1
Cartesian
2.414 1.292 4.736 Sc
0.000 3.618 3.960 Sc
2.414 2.912 1.734 Ho
0.000 -1.094 5.328 Ho
0.000 0.637 2.368 Ho
0.000 5.360 1.040 Ho
0.000 1.998 6.963 Ho
2.414 6.005 3.369 Ho
2.414 4.274 6.329 Ho
2.414 -0.449 7.657 Ho
2.414 0.000 0.000 Sn
```

***

(8)
This record from Alexandria via LeMat-Bulk describes crystalline Ho3Sc5Sn2 at its relaxed geometry. The functional is PBE.

```
Ho3Sc5Sn2
1.0
-1.718 -5.701 1.164
8.288 -5.426 1.467
-3.063 -0.360 9.527
Ho Sc Sn
6 10 4
Cartesian
4.042 -7.121 2.707 Ho
-1.288 -4.276 0.873 Ho
-0.535 -4.366 9.451 Ho
4.826 -9.992 5.616 Ho
-1.319 -1.495 6.542 Ho
-0.429 -1.425 0.291 Ho
3.862 -4.339 8.165 Sc
1.324 -7.169 6.370 Sc
-0.355 -7.148 3.993 Sc
0.504 -4.298 3.411 Sc
3.003 -7.189 8.747 Sc
2.183 -4.318 5.788 Sc
3.666 -3.692 3.138 Sc
-0.815 -4.926 6.292 Sc
4.322 -6.561 5.866 Sc
-0.159 -7.795 9.020 Sc
5.549 -4.652 1.218 Sn
6.754 -7.527 4.722 Sn
-3.247 -3.960 7.436 Sn
-2.042 -6.836 10.940 Sn
```

***

(9)
This record from Alexandria via LeMat-Bulk describes crystalline HoSc3Sn at its relaxed geometry. The functional is PBE.

```
HoSc3Sn
1.0
5.399 0.000 0.000
0.000 7.625 0.000
0.000 0.000 7.638
Sc Ho Sn
6 2 2
Cartesian
0.000 5.668 1.960 Sc
0.000 5.769 5.779 Sc
0.000 1.957 5.678 Sc
2.699 0.000 3.819 Sc
2.699 3.812 0.000 Sc
0.000 1.856 1.859 Sc
2.699 3.812 3.819 Ho
2.699 0.000 0.000 Ho
0.000 0.000 3.819 Sn
0.000 3.812 0.000 Sn
```

***

(10)
This record from Alexandria via LeMat-Bulk describes crystalline Ho4ScSn at its relaxed geometry. The functional is PBE.

```
Ho4ScSn
1.0
-4.940 -0.970 0.904
-0.020 -3.433 -3.793
1.947 -5.395 4.868
Ho Sn Sc
4 1 1
Cartesian
-1.046 -7.930 0.297 Ho
1.434 -5.728 1.742 Ho
0.473 -3.063 -0.662 Ho
-2.008 -5.264 -2.106 Ho
-0.543 -7.578 3.426 Sn
0.944 -6.112 -1.356 Sc
```

***

(11)
HoScSn | Alexandria via LeMat-Bulk | PBE | optimized geometry; polymorph energy (0 for the lowest one) = 0.2208 eV/atom
1.0
3.788 0.000 0.000
0.000 3.788 0.000
-1.894 -1.894 5.352
Sc Sn Ho
1 1 1
Cartesian
1.894 1.894 4.971 Sc
1.894 1.894 1.139 Sn
0.000 0.000 2.989 Ho

***

(12)
HoScSn | Alexandria via LeMat-Bulk | PBE | optimized geometry; polymorph energy (0 for the lowest one) = 0.2347 eV/atom
1.0
3.736 0.000 0.000
0.000 4.933 0.000
0.000 -2.466 4.272
Sn Sc Ho
1 1 1
Cartesian
2.892 2.466 1.424 Sn
3.273 0.000 0.000 Sc
1.307 0.000 2.848 Ho

***

Values for energy of formation from the pure elements, meV/atom, ordered as above
-527, -402, -563, -639, -356, -623, -113, -91, 291, 184, -403, -389
Values for E_tot, eV for the cell shown, ordered as above
-21.022, -21.100, -21.165, -21.469, -69.136, -33.565, -54.531, -108.619, -52.238, -27.543, -16.120, -16.078